# MgTl2Au, relaxed, DFT GGA-PBE
# - Volume: 26.4 Å³ per atom
# - Calculated formation energy: -0.128 eV/atom
# - E: -10.1 eV per cell
# - Space-group type: C2/m (12)
# - Energy relative to the lowest polymorph listed for this composition: 0.16 eV per formula unit
data_MgTl2Au
_space_group_name_H-M_alt 'P 1'
_space_group_IT_number 1
_cell_length_a 7.539
_cell_length_b 7.539
_cell_length_c 4.269
_cell_angle_alpha 105.81
_cell_angle_beta 105.81
_cell_angle_gamma 26.92
loop_
_space_group_symop_operation_xyz
'x,y,z'
loop_
_atom_site_label
_atom_site_type_symbol
_atom_site_fract_x
_atom_site_fract_y
_atom_site_fract_z
_atom_site_occupancy
Mg1 Mg 0.000 0.000 0.000 1
Tl1 Tl 0.184 0.184 0.685 1
Tl2 Tl 0.816 0.816 0.315 1
Au1 Au 0.500 0.500 0.500 1